DFT (PBE) results for a geometry-optimized CePrNpN3 structure.

Properties
uncorrected energy: -109.14 eV/cell
uncorrected formation energy: -5.94 eV per formula unit

a b c (Å): 3.682 7.305 8.734
angles (deg): 96.63 90.00 90.00
Fractional coordinates of all 12 atoms:
N  0.250  0.600  0.889
Np  0.750  0.946  0.410
N  0.750  0.895  0.154
Ce  0.250  0.630  0.155
Ce  0.750  0.370  0.845
N  0.750  0.215  0.590
Np  0.250  0.054  0.590
Pr  0.750  0.844  0.867
Pr  0.250  0.156  0.133
N  0.750  0.400  0.111
N  0.250  0.105  0.846
N  0.250  0.785  0.410

DFT (PBE) results for a geometry-optimized La2MgO4 structure.

Properties
uncorrected energy: -107.01 eV/cell
uncorrected formation energy: -22.22 eV per formula unit

a b c (Å): 6.819 6.819 5.694
angles (deg): 90.00 90.00 131.92
Fractional coordinates of all 14 atoms:
La  0.138  0.862  0.487
O  0.179  0.821  0.068
O  0.821  0.179  0.932
La  0.862  0.138  0.513
Mg  0.500  0.500  0.500
La  0.638  0.362  0.013
Mg  0.000  0.000  0.000
O  0.268  0.232  0.750
O  0.321  0.679  0.568
La  0.362  0.638  0.987
O  0.768  0.732  0.750
O  0.679  0.321  0.432
O  0.232  0.268  0.250
O  0.732  0.768  0.250

DFT (PBE) results for a geometry-optimized VCrP structure.

Properties
uncorrected energy: -25.17 eV/cell

a b c (Å): 3.049 3.049 4.419
angles (deg): 110.18 110.18 90.00
Fractional coordinates of all 3 atoms:
Cr  0.946  0.946  0.892
P  0.285  0.285  0.570
V  0.619  0.619  0.238

DFT (PBE) results for a geometry-optimized MgTl4Pb2 structure.

Properties
uncorrected energy: -16.92 eV/cell

a b c (Å): 5.655 5.655 8.816
angles (deg): 108.71 108.71 90.00
Fractional coordinates of all 7 atoms:
Pb  0.609  0.609  0.217
Mg  0.000  0.000  0.000
Tl  0.500  0.000  0.000
Pb  0.391  0.391  0.783
Tl  0.189  0.189  0.378
Tl  0.000  0.500  0.000
Tl  0.811  0.811  0.622

DFT (PBE) results for a geometry-optimized CrAsW structure.

Properties
uncorrected energy: -26.49 eV/cell

a b c (Å): 4.174 4.174 2.845
angles (deg): 90.00 90.00 120.00
Fractional coordinates of all 3 atoms:
Cr  0.667  0.333  0.197
As  0.000  0.000  0.173
W  0.333  0.667  0.630

DFT (PBE) results for a geometry-optimized Cs2Hg2As structure.

Properties
uncorrected energy: -17.09 eV/cell

a b c (Å): 4.795 7.392 13.154
angles (deg): 78.72 79.49 71.08
Fractional coordinates of all 10 atoms:
Hg  0.630  0.888  0.853
Hg  0.370  0.112  0.147
As  0.555  0.206  0.683
Cs  0.301  0.778  0.620
Cs  0.699  0.222  0.380
Hg  0.971  0.651  0.407
Cs  0.900  0.307  0.892
Cs  0.100  0.693  0.108
As  0.445  0.794  0.317
Hg  0.029  0.349  0.593

DFT (PBE) results for a geometry-optimized Ca2HfAgMo structure.

Properties
uncorrected energy: -20.52 eV/cell

a b c (Å): 5.201 5.193 5.201
angles (deg): 90.00 90.00 90.00
Fractional coordinates of all 5 atoms:
Mo  0.000  0.000  0.000
Ca  0.000  0.000  0.500
Hf  0.500  0.500  0.500
Ag  0.000  0.500  0.000
Ca  0.500  0.000  0.000

DFT (PBE) results for a geometry-optimized TbTlHgPt structure.

Properties
uncorrected energy: -15.26 eV/cell

a b c (Å): 5.042 5.042 5.042
angles (deg): 60.00 60.00 60.00
Fractional coordinates of all 4 atoms:
Pt  0.750  0.750  0.750
Tb  0.000  0.000  0.000
Tl  0.500  0.500  0.500
Hg  0.250  0.250  0.250

DFT (PBE) results for a geometry-optimized TiPtAu2 structure.

Properties
uncorrected energy: -21.81 eV/cell

a b c (Å): 4.567 4.567 4.567
angles (deg): 60.00 60.00 60.00
Fractional coordinates of all 4 atoms:
Pt  0.500  0.500  0.500
Ti  0.000  0.000  0.000
Au  0.750  0.750  0.750
Au  0.250  0.250  0.250

DFT (PBE) results for a geometry-optimized Pm7Pr2Dy2 structure.

Properties
uncorrected energy: -50.94 eV/cell

a b c (Å): 10.175 6.357 6.357
angles (deg): 112.40 91.99 91.99
Fractional coordinates of all 11 atoms:
Pm  0.000  0.000  0.000
Pr  0.706  0.287  0.287
Pm  0.639  0.811  0.811
Pm  0.853  0.823  0.417
Pm  0.361  0.189  0.189
Dy  0.500  0.730  0.270
Dy  0.500  0.270  0.730
Pr  0.294  0.713  0.713
Pm  0.147  0.583  0.177
Pm  0.147  0.177  0.583
Pm  0.853  0.417  0.823

DFT (PBE) results for a geometry-optimized BeAg2As2 structure.

Properties
uncorrected energy: -35.60 eV/cell

a b c (Å): 6.038 6.038 5.224
angles (deg): 90.00 90.00 90.00
Fractional coordinates of all 10 atoms:
As  0.355  0.855  0.000
As  0.145  0.355  0.000
Be  0.000  0.000  0.000
As  0.855  0.645  0.000
As  0.645  0.145  0.000
Ag  0.685  0.185  0.500
Be  0.500  0.500  0.000
Ag  0.185  0.315  0.500
Ag  0.315  0.815  0.500
Ag  0.815  0.685  0.500

DFT (PBE) results for a geometry-optimized Tl2ZnCr2Te6 structure.

Properties
uncorrected energy: -46.31 eV/cell
uncorrected formation energy: -2.20 eV per formula unit

a b c (Å): 7.048 7.048 8.174
angles (deg): 98.28 98.28 120.81
Fractional coordinates of all 11 atoms:
Tl  0.841  0.159  0.000
Te  0.279  0.279  0.324
Cr  0.326  0.674  0.500
Zn  0.000  0.000  0.500
Te  0.931  0.580  0.302
Te  0.721  0.721  0.676
Te  0.069  0.420  0.698
Te  0.580  0.931  0.302
Cr  0.674  0.326  0.500
Te  0.420  0.069  0.698
Tl  0.159  0.841  0.000

DFT (PBE) results for a geometry-optimized Ba3NaSn2S6 structure.

Properties
uncorrected energy: -54.63 eV/cell
uncorrected formation energy: -14.78 eV per formula unit

a b c (Å): 7.501 7.501 7.696
angles (deg): 90.00 90.00 120.00
Fractional coordinates of all 12 atoms:
S  0.172  0.344  0.290
S  0.172  0.828  0.290
S  0.828  0.656  0.710
Sn  0.667  0.333  0.880
Ba  0.333  0.667  0.610
Ba  0.667  0.333  0.390
S  0.344  0.172  0.710
Ba  0.000  0.000  0.000
Na  0.000  0.000  0.500
S  0.656  0.828  0.290
Sn  0.333  0.667  0.120
S  0.828  0.172  0.710

DFT (PBE) results for a geometry-optimized MnSnPHS structure.

Properties
uncorrected energy: -26.17 eV/cell

a b c (Å): 3.635 4.486 4.809
angles (deg): 110.15 90.23 90.71
Fractional coordinates of all 5 atoms:
H  0.705  0.038  0.120
P  0.381  0.437  0.403
S  0.378  0.949  0.621
Sn  0.913  0.578  0.016
Mn  0.877  0.174  0.444

DFT (PBE) results for a geometry-optimized La6TbPm4 structure.

Properties
uncorrected energy: -50.35 eV/cell

a b c (Å): 7.045 7.045 9.513
angles (deg): 111.73 111.73 90.00
Fractional coordinates of all 11 atoms:
Pm  0.725  0.064  0.790
La  0.492  0.871  0.364
Tb  0.500  0.500  0.000
Pm  0.275  0.275  0.210
La  0.508  0.508  0.636
La  0.000  0.500  0.000
La  0.871  0.492  0.364
Pm  0.064  0.725  0.790
La  0.129  0.129  0.636
La  0.500  0.000  0.000
Pm  0.936  0.936  0.210

DFT (PBE) results for a geometry-optimized Ta5Nb3 structure.

Properties
uncorrected energy: -89.54 eV/cell

a b c (Å): 3.312 3.312 13.286
angles (deg): 90.00 90.00 90.00
Fractional coordinates of all 8 atoms:
Nb  0.500  0.500  0.125
Ta  0.500  0.500  0.624
Ta  0.000  0.000  0.751
Nb  0.500  0.500  0.875
Ta  0.500  0.500  0.376
Nb  0.000  0.000  0.500
Ta  0.000  0.000  0.249
Ta  0.000  0.000  0.000

DFT (PBE) results for a geometry-optimized PPt2W structure.

Properties
uncorrected energy: -30.56 eV/cell

a b c (Å): 8.459 8.459 8.459
angles (deg): 19.79 19.79 19.79
Fractional coordinates of all 4 atoms:
Pt  0.753  0.753  0.753
Pt  0.991  0.991  0.991
P  0.247  0.247  0.247
W  0.509  0.509  0.509

DFT (PBE) results for a geometry-optimized MnIrRh3 structure.

Properties
uncorrected energy: -35.27 eV/cell

a b c (Å): 4.855 5.142 5.142
angles (deg): 114.22 108.38 108.38
Fractional coordinates of all 5 atoms:
Rh  0.000  0.000  0.500
Rh  0.000  0.500  0.000
Rh  0.000  0.500  0.500
Mn  0.000  0.000  0.000
Ir  0.500  0.000  0.000

DFT (PBE) results for a geometry-optimized In2TcPt structure.

Properties
uncorrected energy: -21.91 eV/cell

a b c (Å): 5.464 5.464 4.953
angles (deg): 68.65 68.65 31.94
Fractional coordinates of all 4 atoms:
Pt  0.519  0.519  0.564
In  0.763  0.763  0.677
In  0.984  0.984  0.078
Tc  0.234  0.234  0.181

DFT (PBE) results for a geometry-optimized ZrTa4Tc structure.

Properties
uncorrected energy: -65.30 eV/cell

a b c (Å): 5.450 5.450 5.450
angles (deg): 60.00 60.00 60.00
Fractional coordinates of all 6 atoms:
Ta  0.375  0.875  0.375
Zr  0.000  0.000  0.000
Ta  0.375  0.375  0.875
Ta  0.375  0.375  0.375
Ta  0.875  0.375  0.375
Tc  0.750  0.750  0.750

DFT (PBE) results for a geometry-optimized Fe2HgCl structure.

Properties
uncorrected energy: -15.74 eV/cell
uncorrected formation energy: 3.33 eV per formula unit

a b c (Å): 4.581 4.581 4.581
angles (deg): 60.00 60.00 60.00
Fractional coordinates of all 4 atoms:
Fe  0.000  0.000  0.000
Cl  0.500  0.500  0.500
Hg  0.750  0.750  0.750
Fe  0.250  0.250  0.250

DFT (PBE) results for a geometry-optimized Pr6Ge2AsI3 structure.

Properties
uncorrected energy: -60.83 eV/cell
uncorrected formation energy: -13.62 eV per formula unit

a b c (Å): 7.573 7.573 8.177
angles (deg): 98.87 98.87 120.00
Fractional coordinates of all 12 atoms:
Pr  0.934  0.599  0.802
Ge  0.333  0.667  0.000
Pr  0.268  0.268  0.801
Pr  0.066  0.401  0.198
I  0.167  0.833  0.500
As  0.000  0.000  0.000
I  0.833  0.167  0.500
Ge  0.667  0.333  0.000
Pr  0.732  0.732  0.199
Pr  0.599  0.934  0.802
Pr  0.401  0.066  0.198
I  0.500  0.500  0.500

DFT (PBE) results for a geometry-optimized Zr2SiIr structure.

Properties
uncorrected energy: -33.79 eV/cell
uncorrected formation energy: -2.41 eV per formula unit

a b c (Å): 5.829 5.829 5.829
angles (deg): 41.54 41.54 41.54
Fractional coordinates of all 4 atoms:
Si  0.806  0.806  0.806
Zr  0.026  0.026  0.026
Zr  0.228  0.228  0.228
Ir  0.440  0.440  0.440

DFT (PBE) results for a geometry-optimized Ti7Zn3 structure.

Properties
uncorrected energy: -60.10 eV/cell

a b c (Å): 4.019 5.638 7.454
angles (deg): 98.59 105.64 90.00
Fractional coordinates of all 10 atoms:
Ti  0.400  0.714  0.799
Zn  0.798  0.413  0.596
Ti  0.200  0.083  0.400
Ti  0.000  0.500  0.000
Ti  0.800  0.917  0.600
Ti  0.600  0.286  0.201
Zn  0.000  0.000  0.000
Ti  0.402  0.208  0.804
Ti  0.598  0.792  0.196
Zn  0.202  0.587  0.404

DFT (PBE) results for a geometry-optimized NaCaLaO2 structure.

Properties
uncorrected energy: -20.72 eV/cell
uncorrected formation energy: -2.56 eV per formula unit

a b c (Å): 4.446 4.313 4.446
angles (deg): 90.00 90.00 90.00
Fractional coordinates of all 5 atoms:
Na  0.000  0.000  0.000
Ca  0.000  0.500  0.000
O  0.500  0.000  0.000
La  0.500  0.500  0.500
O  0.000  0.000  0.500